# 1
K2LiAl3F12 | PBE | optimized geometry

a b c (Å): 7.0310 7.0310 17.1811
angles (deg): 90.00 90.00 120.00
Last column: nearest neighbours and their distance in Å.
Space group R-3m (No. 166, hexagonal axes)
Symmetry-distinct sites (fractional):
K 0.0000 0.0000 0.1364 x6  3 F 2.80
Li 0.0000 0.0000 0.5000 x3  6 F 2.10
Al 0.0000 0.5000 0.0000 x9  6 F 1.78-1.85
F 0.0411 0.5205 0.1023 x18  1 Al 1.78
F 0.0802 0.5401 0.3460 x18  2 Al 1.85

Uncorrected energy, eV/atom: -5.464

---

# 2
K2LiAlF6 | PBE | optimized geometry

a b c (Å): 5.7059 5.7059 27.9983
angles (deg): 90.00 90.00 120.00
Last column: nearest neighbours and their distance in Å.
Space group R-3m (No. 166, hexagonal axes)
Symmetry-distinct sites (fractional):
K 0.0000 0.0000 0.1276 x6  12 F 2.85-2.94
K 0.0000 0.0000 0.2808 x6  12 F 2.79-3.09
Li 0.0000 0.0000 0.4028 x6  6 F 1.99-2.19
Al 0.0000 0.0000 0.0000 x3  6 F 1.84
Al 0.0000 0.0000 0.5000 x3  6 F 1.83
F 0.0273 0.5136 0.7044 x18  1 Al 1.84, 1 Li 1.99
F 0.0369 0.5185 0.1275 x18  1 Al 1.83

Uncorrected energy, eV/atom: -5.126

---

# 3
K2LiAlF6 | PBE | optimized geometry

a b c (Å): 9.9892 5.7642 4.9815
angles (deg): 90.00 90.27 90.00
Last column: nearest neighbours and their distance in Å.
Space group C2/m (No. 12)
Symmetry-distinct sites (fractional):
K 0.1665 0.0000 0.2533 x4  11 F 2.89-3.23
Li 0.0000 0.5000 0.0000 x2  6 F 2.01-2.02
Al 0.0000 0.5000 0.5000 x2  6 F 1.83
F 0.0731 0.2804 0.7223 x8  1 Al 1.83, 1 Li 2.01
F 0.1464 0.5000 0.2800 x4  1 Al 1.83, 1 Li 2.02

Uncorrected energy, eV/atom: -5.088

---

# 4
K2LiAlF6 | PBE | optimized geometry

a b c (Å): 7.9707 7.9707 7.9707
angles (deg): 90.00 90.00 90.00
Last column: nearest neighbours and their distance in Å.
Space group Fm-3m (No. 225)
Symmetry-distinct sites (fractional):
K 0.2500 0.2500 0.2500 x8  12 F 2.82
Li 0.0000 0.0000 0.0000 x4  6 F 2.14
Al 0.0000 0.0000 0.5000 x4  6 F 1.85
F 0.0000 0.0000 0.2685 x24  1 Al 1.85

Uncorrected energy, eV/atom: -5.125

---

Formation energy from raw total energies values, unit eV/f.u., following the record order: -60.6, -32.2, -31.8, -32.2.
Total moment values, unit μB per atom, following the record order: 0.0000, 0.0000, 0.0000, 0.0000.